1.
La2NdYTh GGA-PBE optimized geometry; space group = P2_1/m, No. 11; energy of formation = 0.056 eV/atom; total magnetization = 0.000 μB/cell
1.0
-3.4891 -2.2299 -4.2268
3.7694 -5.1265 -0.4070
-3.2304 -6.8487 6.2797
La Nd Y Th
4 2 2 2
Direct
0.7500 0.7556 0.8138
0.2500 0.2444 0.1862
0.2500 0.0292 0.6093
0.7500 0.9708 0.3907
0.7500 0.3741 0.6031
0.2500 0.6259 0.3969
0.7500 0.5697 0.1916
0.2500 0.4303 0.8084
0.2500 0.8491 0.0067
0.7500 0.1509 0.9933

***

2.
La2Nd3Y6Th GGA-PBE optimized geometry; space group = C2/m, No. 12; energy of formation = 0.018 eV/atom; total magnetization = 0.000 μB/cell
1.0
-1.6086 5.8411 1.7695
-4.0696 -3.5338 -3.2845
-2.4846 -4.9943 10.4738
La Nd Y Th
2 3 6 1
Direct
0.3334 0.6666 0.0000
0.6666 0.3334 0.0000
0.1670 0.8330 0.5000
0.8330 0.1670 0.5000
0.5000 0.5000 0.5000
0.9170 0.5883 0.7514
0.7544 0.7544 0.2486
0.0830 0.4117 0.2486
0.5883 0.9170 0.7514
0.2456 0.2456 0.7514
0.4117 0.0830 0.2486
0.0000 0.0000 0.0000

***

3.
La3NdY6Th2 GGA-PBE optimized geometry; space group = C2/m, No. 12; energy of formation = 0.022 eV/atom; total magnetization = 0.000 μB/cell
1.0
-2.8213 -5.2992 -1.8983
6.2831 0.4087 -0.0390
-0.8233 -2.4639 11.5957
La Nd Y Th
3 1 6 2
Direct
0.1662 0.8338 0.5000
0.8338 0.1662 0.5000
0.5000 0.5000 0.5000
0.0000 0.0000 0.0000
0.9189 0.5808 0.7564
0.7430 0.7430 0.2437
0.0811 0.4192 0.2436
0.5808 0.9189 0.7564
0.2570 0.2570 0.7563
0.4192 0.0811 0.2436
0.3334 0.6666 0.0000
0.6666 0.3334 0.0000

***

4.
LaNd6Y2Th GGA-PBE optimized geometry; space group = C2/c, No. 15; energy of formation = 0.142 eV/atom; total magnetization = 0.000 μB/cell
1.0
9.1161 -1.8258 -1.8948
1.0117 8.7644 -1.8137
1.0117 -2.1373 8.6911
La Nd Y Th
2 12 4 2
Direct
0.2500 0.9564 0.0436
0.7500 0.0436 0.9564
0.0642 0.1094 0.7638
0.4358 0.2362 0.8906
0.9358 0.8906 0.2362
0.5642 0.7638 0.1094
0.3129 0.0013 0.4433
0.1871 0.5567 0.9987
0.6871 0.9987 0.5567
0.8129 0.4433 0.0013
0.1105 0.7052 0.4725
0.3895 0.5275 0.2948
0.8895 0.2948 0.5275
0.6105 0.4725 0.7052
0.4408 0.7974 0.7002
0.0592 0.2998 0.2026
0.5592 0.2026 0.2998
0.9408 0.7002 0.7974
0.2500 0.4112 0.5888
0.7500 0.5888 0.4112

***

5.
La2Nd2Y4Th GGA-PBE optimized geometry; space group = C2/m, No. 12; energy of formation = -0.001 eV/atom; total magnetization = 0.000 μB/cell
1.0
3.6587 0.0000 0.0000
-1.8294 9.5339 -0.4259
0.0000 -3.8781 8.9181
La Nd Y Th
2 2 4 1
Direct
0.3373 0.6746 0.9967
0.6627 0.3254 0.0033
0.8528 0.7056 0.3369
0.1472 0.2944 0.6631
0.8170 0.6339 0.6650
0.1830 0.3661 0.3350
0.5189 0.0377 0.3265
0.4811 0.9623 0.6735
0.0000 0.0000 0.0000

***

6.
La3NdYTh GGA-PBE optimized geometry; space group = P2_1/m, No. 11; energy of formation = 0.033 eV/atom; total magnetization = 0.000 μB/cell
1.0
-3.6834 -3.6345 -0.1152
3.2688 -3.5258 6.7176
-7.6968 7.7476 1.6678
La Nd Y Th
6 2 2 2
Direct
0.7500 0.8758 0.0468
0.2500 0.1242 0.9532
0.2500 0.6384 0.4544
0.7500 0.3616 0.5456
0.7500 0.3817 0.2096
0.2500 0.6183 0.7904
0.2500 0.1146 0.2979
0.7500 0.8854 0.7021
0.2500 0.6315 0.1290
0.7500 0.3685 0.8710
0.2500 0.1207 0.6211
0.7500 0.8793 0.3789